First-principles (PBE) data for a geometry-optimized Li3SnF8 structure, as listed in Alexandria.

## Properties
Formation energy from raw total energies (eV per atom): -2.403
Crystal system: cubic

The structure in CIF format:
```
data_Li3SnF8
_chemical_formula_sum 'Li3 Sn1 F8'
_cell_length_a 5.062
_cell_length_b 5.062
_cell_length_c 5.062
_cell_angle_alpha 90.00
_cell_angle_beta 90.00
_cell_angle_gamma 90.00
_symmetry_space_group_name_H-M 'P m -3 m'
_symmetry_Int_Tables_number 221
_symmetry_space_group_name_Hall '-P 4 2 3'
loop_
_atom_site_label
_atom_site_fract_x
_atom_site_fract_y
_atom_site_fract_z
Li1 0.000 0.000 0.500
Sn1 0.500 0.500 0.500
F1 0.258 0.258 0.258
```